# 1
ZnHgAs2Br | the Alexandria database | PBE-GGA | optimized geometry; excess energy over the best structure of this formula in the dataset = 350 meV per atom; crystal system = tetragonal
1.0
-0.9295 -4.9817 1.4029
4.5202 -0.0873 2.6850
-2.8035 1.8693 4.7805
Zn As Hg Br
1 2 1 1
Cartesian
0.3936 -1.5998 4.4342
2.2601 -0.0436 1.3425
-0.4647 -2.4909 0.7014
0.0000 0.0000 0.0000
-1.4018 0.9346 2.3902

---

# 2
ZnHgAs2Br | the Alexandria database | PBE-GGA | optimized geometry; excess energy over the best structure of this formula in the dataset = 0 meV per atom; crystal system = tetragonal
1.0
-1.4374 4.6951 0.6504
-4.4525 -1.1043 -1.8680
-1.7403 -1.2062 4.8612
Zn As Hg Br
1 2 1 1
Cartesian
0.0000 0.0000 0.0000
-2.2262 -0.5522 -0.9340
-0.7187 2.3476 0.3252
-3.8151 1.1923 1.8218
-0.8702 -0.6031 2.4306

---

# 3
Ho2AsBr2 | the Alexandria database | PBE-GGA | optimized geometry; crystal system = trigonal
1.0
3.9919 0.0000 0.7383
1.9277 3.4956 0.7383
0.0411 0.0243 10.9386
Ho As Br
2 1 2
Cartesian
3.6635 2.1634 2.5135
2.2971 1.3565 9.9017
0.0000 0.0000 0.0000
1.3676 0.8076 3.7662
4.5930 2.7123 8.6489

---

# 4
Ho3AsBr3 | the Alexandria database | PBE-GGA | optimized geometry; crystal system = cubic
1.0
9.4224 0.0000 -3.3313
-4.7112 8.1601 -3.3313
0.0000 0.0000 9.9940
Ho As Br
12 4 12
Cartesian
6.8779 3.9710 -2.4985
4.7112 0.2181 0.8328
2.2926 0.1091 3.9861
5.7631 6.1200 -5.6517
8.1817 1.9309 0.6547
7.1298 0.1091 -2.3204
4.7112 3.8619 0.8328
3.6594 6.1200 -2.6766
3.7223 2.1491 -2.4985
1.2408 1.9309 1.0109
5.7001 2.1491 4.1642
2.5445 3.9710 4.1642
4.7112 4.0800 -4.1642
3.5334 2.0400 2.4985
5.8890 2.0400 -0.8328
0.0000 0.0000 2.4985
-2.3775 8.1221 5.7678
3.5115 6.1580 2.4365
1.1121 6.0821 5.8298
-1.1340 2.0400 9.0992
-1.1121 6.0821 -0.8328
2.2899 4.1180 -0.8328
1.1340 2.0400 5.8918
0.0000 4.1560 2.4985
2.3775 8.1221 -0.7708
-2.2899 4.1180 5.8298
-3.5115 6.1580 2.5605
0.0000 8.0841 2.4985

---

For the records above, the corresponding calculated total energy values read -8.342, -10.092, -25.593, -33.692 eV/f.u..
For the records above, the corresponding E_form (uncorrected) values read 4.205, 2.455, -8.443, -10.291 eV per formula unit.
For the records above, the corresponding total magnetization values read 1.94, 1.31, 0.00, 0.00 μB/f.u..